Density functional theory data (PBE) for a relaxed SrCeTm4Se8 crystal.

a b c (Å): 8.4471 8.4471 21.1631
angles (deg): 90.00 90.00 120.00
Closest atoms and distances in Å follow each position.
Space group R3m (No. 160, hexagonal axes)
One atom of each set of equivalent atoms:
Sr 0.0000 0.0000 0.0000 [3 per cell]  4 Se 2.89-2.91
Ce 0.0000 0.0000 0.6279 [3 per cell]  6 Se 2.94-3.04
Tm 0.0000 0.0000 0.2528 [3 per cell]  4 Se 2.72-2.79
Tm 0.1686 0.3372 0.4599 [9 per cell]  6 Se 2.79-2.94
Se 0.0000 0.0000 0.3846 [3 per cell]  4 Tm 2.79-2.94
Se 0.0000 0.0000 0.8624 [3 per cell]  3 Tm 2.82, 1 Sr 2.91
Se 0.0312 0.5156 0.3863 [9 per cell]  2 Tm 2.79, 1 Sr 2.89, 1 Ce 2.94
Se 0.1721 0.3442 0.2039 [9 per cell]  3 Tm 2.72-2.92, 1 Ce 3.04

ρ: 5.85 g cm⁻³
DOS at the Fermi energy: 0.76 states/eV per atom
formation energy without anion corrections: -40.40 kcal/mol of atoms

Density functional theory data (PBE) for a relaxed Sr2CeTmSe4 crystal.

a b c (Å): 7.3508 4.2318 7.4954
angles (deg): 90.00 108.94 90.00
Closest atoms and distances in Å follow each position.
Space group P2/m (No. 10)
One atom of each set of equivalent atoms:
Sr 0.0000 0.0000 0.0000 [1 per cell]  6 Se 3.13-3.14
Sr 0.5000 0.5000 0.0000 [1 per cell]  6 Se 3.05-3.06
Ce 0.0000 0.5000 0.5000 [1 per cell]  6 Se 2.99-3.00
Tm 0.5000 0.0000 0.5000 [1 per cell]  6 Se 2.91
Se 0.2550 0.0000 0.7362 [2 per cell]  1 Tm 2.91, 2 Ce 3.00, 3 Sr 3.05-3.13
Se 0.2657 0.5000 0.2705 [2 per cell]  2 Tm 2.91, 1 Ce 2.99, 3 Sr 3.06-3.14

ρ: 6.02 g cm⁻³
DOS at the Fermi energy: 1.07 states/eV per atom
formation energy without anion corrections: -42.64 kcal/mol of atoms